Pr4SmAl5, relaxed, DFT PBE; DFT formation energy = -346 meV per atom
1.0
-0.2738 3.7135 0.4098
-2.2628 0.1621 -2.9810
-14.8200 -2.3203 11.1230
Pr Al Sm
4 5 1
Direct
0.0000 0.0000 0.8029
0.0000 0.0000 0.1971
0.0000 0.0000 0.6009
0.0000 0.0000 0.3991
0.5000 0.5000 0.2981
0.5000 0.5000 0.5000
0.5000 0.5000 0.0950
0.5000 0.5000 0.7019
0.5000 0.5000 0.9050
0.0000 0.0000 0.0000

***

ZrCoB, relaxed, DFT PBE; DFT formation energy = -539 meV per atom
1.0
-2.9439 -1.0575 -0.4199
0.5501 -2.9328 3.5299
-0.4312 4.9486 2.4216
Co B Zr
2 2 2
Direct
0.5965 0.7849 0.1930
0.4035 0.2151 0.8070
0.2323 0.8804 0.4646
0.7677 0.1196 0.5354
0.8752 0.6800 0.7504
0.1248 0.3200 0.2496

***

CaY2NpO6, relaxed, DFT PBE; final energy = -89.83 eV per cell
1.0
-2.4940 3.2116 -4.2342
-5.6217 -0.8932 -1.4360
-4.1392 4.2275 1.5748
O Ca Np Y
6 1 1 2
Direct
0.9205 0.6162 0.2448
0.6162 0.2185 0.2448
0.7022 0.1381 0.7600
0.1381 0.3997 0.7600
0.3997 0.7022 0.7600
0.2185 0.9205 0.2448
0.8052 0.8052 0.5845
0.3130 0.3130 0.0611
0.5265 0.5265 0.4206
0.0219 0.0219 0.9344

***

K2OsRu, relaxed, DFT PBE; DFT formation energy = 1310 meV per atom
1.0
5.6968 0.0000 0.0000
0.0000 2.7028 0.0347
0.0000 1.0919 5.1698
K Ru Os
2 1 1
Direct
0.0000 0.5117 0.5012
0.0000 0.9884 0.9988
0.5000 0.7500 0.7500
0.5000 0.2500 0.2500

***

VGaPdRu, relaxed, DFT PBE; DFT formation energy = -310 meV per atom
1.0
-0.9790 1.8195 3.7975
-3.3997 -1.4174 2.2635
0.6125 -2.1982 3.6719
Pd V Ru Ga
1 1 1 1
Direct
0.2500 0.2500 0.2500
0.5000 0.5000 0.5000
0.7500 0.7500 0.7500
0.0000 0.0000 0.0000

***

LiTlFe3, relaxed, DFT PBE; DFT formation energy = 943 meV per atom
1.0
4.1722 0.0000 0.0000
0.0000 4.1722 0.0000
0.0000 0.0000 4.1722
Fe Tl Li
3 1 1
Direct
0.5000 0.0000 0.0000
0.0000 0.5000 0.0000
0.0000 0.0000 0.5000
0.5000 0.5000 0.5000
0.0000 0.0000 0.0000

***

Nd2YTl2Ag2, relaxed, DFT PBE; DFT formation energy = -197 meV per atom
1.0
-4.0318 -0.2241 -2.7862
-0.2311 -3.1795 -3.7290
-4.9711 -7.5022 3.4775
Tl Ag Nd Y
2 2 2 1
Direct
0.2627 0.2627 0.2119
0.7373 0.7373 0.7881
0.3898 0.3898 0.8305
0.6102 0.6102 0.1695
0.8754 0.8754 0.3739
0.1246 0.1246 0.6261
0.0000 0.0000 0.0000

***

CsPr6FeI10, relaxed, DFT PBE; final energy = -301.18 eV per cell
1.0
-12.8735 4.8978 -0.9997
-1.6658 -1.4902 14.1505
5.3814 14.5875 2.1698
I Pr Cs Fe
40 24 4 4
Direct
0.0908 0.7658 0.7909
0.4185 0.5029 0.6252
0.5908 0.2342 0.2091
0.7500 0.7697 0.2869
0.4230 0.2521 0.9602
0.4092 0.7658 0.7909
0.0838 0.9988 0.6237
0.0908 0.7342 0.2909
0.7500 0.2607 0.4579
0.5908 0.2658 0.7091
0.9230 0.7521 0.5398
0.5838 0.4988 0.8763
0.2500 0.7607 0.0421
0.2500 0.2303 0.7131
0.0815 0.9971 0.1252
0.9162 0.4988 0.8763
0.9092 0.2658 0.7091
0.4185 0.9971 0.1252
0.4230 0.2479 0.4602
0.5770 0.7521 0.5398
0.9162 0.0012 0.3763
0.9185 0.0029 0.8748
0.7500 0.7303 0.7869
0.5770 0.7479 0.0398
0.5815 0.4971 0.3748
0.9230 0.7479 0.0398
0.9092 0.2342 0.2091
0.0815 0.5029 0.6252
0.9185 0.4971 0.3748
0.2500 0.2697 0.2131
0.4162 0.9988 0.6237
0.4162 0.5012 0.1237
0.7500 0.2393 0.9579
0.0770 0.2521 0.9602
0.0838 0.5012 0.1237
0.4092 0.7342 0.2909
0.2500 0.7393 0.5421
0.5815 0.0029 0.8748
0.0770 0.2479 0.4602
0.5838 0.0012 0.3763
0.7500 0.8952 0.4936
0.8919 0.8862 0.7037
0.2500 0.8930 0.2328
0.6081 0.6138 0.2037
0.2500 0.1048 0.5064
0.8919 0.6138 0.2037
0.3928 0.6192 0.9432
0.3919 0.1138 0.2963
0.2500 0.3952 0.0064
0.6081 0.8862 0.7037
0.1072 0.8808 0.4432
0.6072 0.1192 0.5568
0.8928 0.1192 0.5568
0.2500 0.6070 0.7328
0.7500 0.3930 0.2672
0.6072 0.3808 0.0568
0.7500 0.6048 0.9936
0.1081 0.1138 0.2963
0.3919 0.3862 0.7963
0.7500 0.1070 0.7672
0.1072 0.6192 0.9432
0.1081 0.3862 0.7963
0.8928 0.3808 0.0568
0.3928 0.8808 0.4432
0.2500 0.4934 0.4107
0.7500 0.9934 0.0893
0.7500 0.5066 0.5893
0.2500 0.0066 0.9107
0.7500 0.0019 0.6289
0.2500 0.9981 0.3711
0.2500 0.5019 0.8711
0.7500 0.4981 0.1289

***

RbNpSb2O8, relaxed, DFT PBE; final energy = -82.08 eV per cell
1.0
-1.5468 -3.4188 3.6619
-2.4827 -3.0792 -3.4311
5.5368 -3.4720 -0.8968
Rb O Sb Np
1 8 2 1
Direct
0.0000 0.0000 0.5000
0.3396 0.3372 0.5002
0.7803 0.2206 0.1996
0.6604 0.6628 0.4998
0.7806 0.2209 0.8004
0.2197 0.7794 0.8004
0.3170 0.3157 0.0001
0.2194 0.7791 0.1996
0.6830 0.6843 0.9999
0.5000 0.5000 0.7513
0.5000 0.5000 0.2487
0.0000 0.0000 0.0000

***

NaYO, relaxed, DFT PBE; final energy = -35.71 eV per cell
1.0
-3.1494 0.8177 0.9814
-0.7582 -3.0769 -5.5512
-0.3970 -5.6081 3.3599
Na O Y
2 2 2
Direct
0.7700 0.5390 0.2613
0.2300 0.4610 0.7387
0.5670 0.1395 0.8152
0.4330 0.8605 0.1848
0.0000 0.0000 0.0000
0.5000 0.0000 0.5000